Version A
A geometry-optimized RbScTa3 structure, computed with GGA-PBE.

a = 5.0593 Å, b = 5.0593 Å, c = 5.0593 Å
α = 90.00°, β = 90.00°, γ = 90.00°
Fractional positions:
Sc (0.0000, 0.0000, 0.0000)
Rb (0.5000, 0.5000, 0.5000)
Ta (0.0000, 0.5000, 0.0000)
Ta (0.0000, 0.0000, 0.5000)
Ta (0.5000, 0.0000, 0.0000)

## Properties
Crystal system: cubic
D(E_F): 6.124 states/eV/f.u.
Spin magnetization: 0.000 μB per atom

---

Version B
A geometry-optimized RbScTa3 structure, computed with GGA-PBE.

a = 4.8408 Å, b = 4.8408 Å, c = 4.8408 Å
α = 90.00°, β = 90.00°, γ = 90.00°
Fractional positions:
Sc (0.5000, 0.5000, 0.5000)
Rb (0.0000, 0.0000, 0.0000)
Ta (0.0000, 0.5000, 0.0000)
Ta (0.0000, 0.0000, 0.5000)
Ta (0.5000, 0.0000, 0.0000)

## Properties
Crystal system: cubic
D(E_F): 3.269 states/eV/f.u.
Spin magnetization: 0.000 μB per atom

---

We find version A to be the most stable, with the next structure 519 meV per atom higher.

---

Version A
A geometry-optimized RbSc3Tc structure, computed with GGA-PBE.

a = 4.9074 Å, b = 4.9074 Å, c = 4.9074 Å
α = 90.00°, β = 90.00°, γ = 90.00°
Fractional positions:
Sc (0.0000, 0.5000, 0.0000)
Sc (0.0000, 0.0000, 0.5000)
Sc (0.5000, 0.0000, 0.0000)
Tc (0.5000, 0.5000, 0.5000)
Rb (0.0000, 0.0000, 0.0000)

## Properties
Crystal system: cubic
D(E_F): 5.961 states/eV/f.u.
Spin magnetization: 0.450 μB per atom

---

Version B
A geometry-optimized RbSc3Tc structure, computed with GGA-PBE.

a = 5.2431 Å, b = 5.2431 Å, c = 5.2431 Å
α = 90.00°, β = 90.00°, γ = 90.00°
Fractional positions:
Sc (0.0000, 0.5000, 0.0000)
Sc (0.0000, 0.0000, 0.5000)
Sc (0.5000, 0.0000, 0.0000)
Tc (0.0000, 0.0000, 0.0000)
Rb (0.5000, 0.5000, 0.5000)

## Properties
Crystal system: cubic
D(E_F): 5.320 states/eV/f.u.
Spin magnetization: 0.000 μB per atom

---

We find version B to be the most stable, with the next structure 1569 meV per atom higher.

---

Version A
A geometry-optimized RbScTc2 structure, computed with GGA-PBE.

a = 4.4300 Å, b = 4.4300 Å, c = 10.2877 Å
α = 77.57°, β = 77.57°, γ = 90.00°
Fractional positions:
Sc (0.5000, 0.5000, 0.0000)
Sc (0.2500, 0.7500, 0.5000)
Tc (0.5038, 0.1250, 0.2500)
Tc (0.2462, 0.6250, 0.2500)
Tc (0.3750, 0.4962, 0.7500)
Tc (0.8750, 0.7538, 0.7500)
Rb (0.0000, 0.0000, 0.0000)
Rb (0.7500, 0.2500, 0.5000)

## Properties
Crystal system: tetragonal
D(E_F): 3.575 states/eV/f.u.
Spin magnetization: 0.000 μB per atom

---

Version B
A geometry-optimized RbScTc2 structure, computed with GGA-PBE.

a = 4.8312 Å, b = 4.8312 Å, c = 4.8312 Å
α = 60.00°, β = 60.00°, γ = 60.00°
Fractional positions:
Sc (0.0000, 0.0000, 0.0000)
Tc (0.2500, 0.2500, 0.2500)
Tc (0.7500, 0.7500, 0.7500)
Rb (0.5000, 0.5000, 0.5000)

## Properties
Crystal system: cubic
D(E_F): 7.231 states/eV/f.u.
Spin magnetization: 0.383 μB per atom

---

We find version A to be the most stable, with the next structure 239 meV per atom higher.

---

Version A
A geometry-optimized Rb2ScTc structure, computed with GGA-PBE.

a = 13.2331 Å, b = 13.2331 Å, c = 9.6423 Å
α = 46.67°, β = 46.67°, γ = 90.00°
Fractional positions:
Sc (0.5000, 0.5000, 0.0000)
Sc (0.2500, 0.7500, 0.5000)
Tc (0.0000, 0.0000, 0.0000)
Tc (0.7500, 0.2500, 0.5000)
Rb (0.7913, 0.1250, 0.2500)
Rb (0.9587, 0.6250, 0.2500)
Rb (0.3750, 0.2087, 0.7500)
Rb (0.8750, 0.0413, 0.7500)

## Properties
Crystal system: tetragonal
D(E_F): 3.700 states/eV/f.u.
Spin magnetization: 0.192 μB per atom

---

Version B
A geometry-optimized Rb2ScTc structure, computed with GGA-PBE.

a = 5.9339 Å, b = 5.9339 Å, c = 5.9339 Å
α = 60.00°, β = 60.00°, γ = 60.00°
Fractional positions:
Sc (0.0000, 0.0000, 0.0000)
Tc (0.5000, 0.5000, 0.5000)
Rb (0.2500, 0.2500, 0.2500)
Rb (0.7500, 0.7500, 0.7500)

## Properties
Crystal system: cubic
D(E_F): 4.090 states/eV/f.u.
Spin magnetization: 0.467 μB per atom

---

We find version A to be the most stable, with the next structure 590 meV per atom higher.

---

Version A
A geometry-optimized RbSc2Ti structure, computed with GGA-PBE.

a = 5.3843 Å, b = 5.3843 Å, c = 5.3843 Å
α = 60.00°, β = 60.00°, γ = 60.00°
Fractional positions:
Sc (0.2500, 0.2500, 0.2500)
Sc (0.7500, 0.7500, 0.7500)
Rb (0.5000, 0.5000, 0.5000)
Ti (0.0000, 0.0000, 0.0000)

## Properties
Crystal system: cubic
D(E_F): 6.551 states/eV/f.u.
Spin magnetization: 0.636 μB per atom

---

Version B
A geometry-optimized RbSc2Ti structure, computed with GGA-PBE.

a = 8.4470 Å, b = 8.4470 Å, c = 6.8246 Å
α = 51.77°, β = 51.77°, γ = 90.00°
Fractional positions:
Sc (0.5934, 0.1250, 0.2500)
Sc (0.1566, 0.6250, 0.2500)
Sc (0.3750, 0.4066, 0.7500)
Sc (0.8750, 0.8434, 0.7500)
Rb (0.0000, 0.0000, 0.0000)
Rb (0.7500, 0.2500, 0.5000)
Ti (0.5000, 0.5000, 0.0000)
Ti (0.2500, 0.7500, 0.5000)

## Properties
Crystal system: tetragonal
D(E_F): 4.976 states/eV/f.u.
Spin magnetization: 0.741 μB per atom

---

We find version A to be the most stable, with the next structure 191 meV per atom higher.

---

Version A
A geometry-optimized RbScTi structure, computed with GGA-PBE.

a = 13.1791 Å, b = 3.1925 Å, c = 10.2659 Å
α = 90.00°, β = 90.00°, γ = 90.00°
Fractional positions:
Sc (0.9234, 0.2500, 0.7908)
Sc (0.5766, 0.7500, 0.2908)
Sc (0.0766, 0.7500, 0.2092)
Sc (0.4234, 0.2500, 0.7092)
Rb (0.8364, 0.2500, 0.4213)
Rb (0.6636, 0.7500, 0.9213)
Rb (0.1636, 0.7500, 0.5787)
Rb (0.3364, 0.2500, 0.0787)
Ti (0.4327, 0.2500, 0.4350)
Ti (0.0673, 0.7500, 0.9350)
Ti (0.5673, 0.7500, 0.5650)
Ti (0.9327, 0.2500, 0.0650)

## Properties
Crystal system: orthorhombic
D(E_F): 3.274 states/eV/f.u.
Spin magnetization: 0.240 μB per atom

---

Version B
A geometry-optimized RbScTi structure, computed with GGA-PBE.

a = 4.3576 Å, b = 4.3576 Å, c = 12.7853 Å
α = 90.00°, β = 90.00°, γ = 90.00°
Fractional positions:
Sc (0.0000, 0.0000, 0.5000)
Sc (0.5000, 0.5000, 0.5000)
Rb (0.0000, 0.5000, 0.1569)
Rb (0.5000, 0.0000, 0.8431)
Ti (0.0000, 0.5000, 0.6613)
Ti (0.5000, 0.0000, 0.3387)

## Properties
Crystal system: tetragonal
D(E_F): 4.050 states/eV/f.u.
Spin magnetization: 1.099 μB per atom

---

Version C
A geometry-optimized RbScTi structure, computed with GGA-PBE.

a = 5.7986 Å, b = 5.7986 Å, c = 6.3239 Å
α = 90.00°, β = 90.00°, γ = 120.00°
Fractional positions:
Sc (0.3333, 0.6667, 0.2500)
Sc (0.6667, 0.3333, 0.7500)
Rb (0.0000, 0.0000, 0.0000)
Rb (0.0000, 0.0000, 0.5000)
Ti (0.3333, 0.6667, 0.7500)
Ti (0.6667, 0.3333, 0.2500)

## Properties
Crystal system: hexagonal
D(E_F): 5.186 states/eV/f.u.
Spin magnetization: 0.885 μB per atom

---

We find version A to be the most stable, with the next structure 138 meV per atom higher.